<A>
This record from Alexandria via LeMat-Bulk describes a geometry-optimized ZrBePb structure. The functional is PBE.

As for the theoretical density: 8.05 g cm⁻³. As for the space group: P3m1. The calculation puts the volume at 21.1 Å³/atom.

a = 3.2360 Å, b = 3.2360 Å, c = 6.9917 Å
α = 90.00°, β = 90.00°, γ = 120.00°
Sites, in units of the cell vectors:
1 Zr 0.3333 0.6667 0.6934
2 Pb 0.6667 0.3333 0.3081
3 Be 0.0000 0.0000 0.9985

---

<B>
This record from Alexandria via LeMat-Bulk describes a geometry-optimized ZrBePb structure. The functional is PBE.

As for the theoretical density: 8.54 g cm⁻³. As for the space group: I4mm. The calculation puts the volume at 19.9 Å³/atom.

a = 6.0446 Å, b = 6.0446 Å, c = 6.0446 Å
α = 148.60°, β = 148.60°, γ = 45.00°
Sites, in units of the cell vectors:
1 Be 0.0092 0.0092 0.0000
2 Pb 0.3511 0.3511 0.0000
3 Zr 0.6397 0.6397 0.0000

---

Q: Which of them is the most stable? A: <B>.

---

<A>
This record from Alexandria via LeMat-Bulk describes a geometry-optimized Zr2Be2Pb structure. The functional is PBE.

As for the theoretical density: 7.86 g cm⁻³. As for the space group: P4/mbm. The calculation puts the volume at 17.2 Å³/atom.

a = 6.6063 Å, b = 6.6063 Å, c = 3.9471 Å
α = 90.00°, β = 90.00°, γ = 90.00°
Sites, in units of the cell vectors:
1 Pb 0.5000 0.5000 0.0000
2 Pb 0.0000 0.0000 0.0000
3 Zr 0.6693 0.8307 0.5000
4 Zr 0.8307 0.3307 0.5000
5 Zr 0.1693 0.6693 0.5000
6 Zr 0.3307 0.1693 0.5000
7 Be 0.6121 0.1121 0.0000
8 Be 0.1121 0.3879 0.0000
9 Be 0.8879 0.6121 0.0000
10 Be 0.3879 0.8879 0.0000

---

<B>
This record from Alexandria via LeMat-Bulk describes a geometry-optimized Zr2Be2Pb structure. The functional is PBE.

As for the theoretical density: 7.77 g cm⁻³. As for the space group: Cmmm. The calculation puts the volume at 17.4 Å³/atom.

a = 3.8066 Å, b = 3.6644 Å, c = 6.5121 Å
α = 106.34°, β = 90.00°, γ = 90.00°
Sites, in units of the cell vectors:
1 Zr 0.5000 0.3551 0.7103
2 Zr 0.5000 0.6449 0.2897
3 Be 0.0000 0.7928 0.5857
4 Be 0.0000 0.2072 0.4143
5 Pb 0.0000 0.0000 0.0000

---

Q: Which of them is the most stable? A: <B>.

---

<A>
This record from Alexandria via LeMat-Bulk describes a geometry-optimized BePd4 structure. The functional is PBE.

As for the theoretical density: 9.98 g cm⁻³. As for the space group: Cmme. The calculation puts the volume at 14.5 Å³/atom.

a = 3.9311 Å, b = 5.1832 Å, c = 7.6706 Å
α = 90.00°, β = 90.00°, γ = 112.25°
Sites, in units of the cell vectors:
1 Pd 0.1064 0.7131 0.1295
2 Pd 0.8902 0.2806 0.3791
3 Pd 0.6064 0.7131 0.8705
4 Pd 0.3902 0.2806 0.6209
5 Pd 0.3936 0.2869 0.1295
6 Pd 0.1098 0.7194 0.6209
7 Pd 0.6098 0.7194 0.3791
8 Pd 0.8936 0.2869 0.8705
9 Be 0.2500 0.0000 0.8766
10 Be 0.7500 0.0000 0.1234

---

<B>
This record from Alexandria via LeMat-Bulk describes a geometry-optimized BePd4 structure. The functional is PBE.

As for the theoretical density: 9.68 g cm⁻³. As for the space group: Pm-3m. The calculation puts the volume at 14.9 Å³/atom.

a = 4.2085 Å, b = 4.2085 Å, c = 4.2085 Å
α = 90.00°, β = 90.00°, γ = 90.00°
Sites, in units of the cell vectors:
1 Pd 0.0000 0.0000 0.0000
2 Pd 0.5000 0.5000 0.0000
3 Pd 0.5000 0.0000 0.5000
4 Pd 0.0000 0.5000 0.5000
5 Be 0.5000 0.5000 0.5000

---

Q: Which of them is the most stable? A: <A>.

---

<A>
This record from Alexandria via LeMat-Bulk describes a geometry-optimized Be5Pd structure. The functional is PBE.

As for the theoretical density: 4.68 g cm⁻³. As for the space group: F-43m. The calculation puts the volume at 9.0 Å³/atom.

a = 4.2372 Å, b = 4.2372 Å, c = 4.2372 Å
α = 60.00°, β = 60.00°, γ = 60.00°
Sites, in units of the cell vectors:
1 Be 0.6246 0.1261 0.6246
2 Be 0.1261 0.6246 0.6246
3 Be 0.6246 0.6246 0.6246
4 Be 0.6246 0.6246 0.1261
5 Be 0.2500 0.2500 0.2500
6 Pd 0.0000 0.0000 0.0000

---

<B>
This record from Alexandria via LeMat-Bulk describes a geometry-optimized Be5Pd structure. The functional is PBE.

As for the theoretical density: 4.49 g cm⁻³. As for the space group: Cmmm. The calculation puts the volume at 9.3 Å³/atom.

a = 3.3174 Å, b = 3.3833 Å, c = 5.2737 Å
α = 108.71°, β = 90.00°, γ = 90.00°
Sites, in units of the cell vectors:
1 Be 0.0000 0.3245 0.6491
2 Be 0.0000 0.6755 0.3509
3 Be 0.5000 0.5000 0.0000
4 Be 0.5000 0.8238 0.6477
5 Be 0.5000 0.1762 0.3523
6 Pd 0.0000 0.0000 0.0000

---

Q: Which of them is the most stable? A: <A>.

---

<A>
This record from Alexandria via LeMat-Bulk describes a geometry-optimized Pm2BePd6 structure. The functional is PBE.

As for the theoretical density: 9.95 g cm⁻³. As for the space group: C2/m. The calculation puts the volume at 17.4 Å³/atom.

a = 6.1464 Å, b = 6.1464 Å, c = 6.0477 Å
α = 58.66°, β = 58.66°, γ = 58.57°
Sites, in units of the cell vectors:
1 Pd 0.7616 0.7616 0.2454
2 Pd 0.7579 0.2352 0.2405
3 Pd 0.2352 0.7579 0.2405
4 Pd 0.7648 0.2421 0.7595
5 Pd 0.2421 0.7648 0.7595
6 Pd 0.2384 0.2384 0.7546
7 Pm 0.2491 0.2491 0.2434
8 Pm 0.7509 0.7509 0.7566
9 Be 0.5000 0.5000 0.5000

---

<B>
This record from Alexandria via LeMat-Bulk describes a geometry-optimized Pm2BePd6 structure. The functional is PBE.

As for the theoretical density: 9.82 g cm⁻³. As for the space group: P-3m1. The calculation puts the volume at 17.6 Å³/atom.

a = 5.3438 Å, b = 5.8521 Å, c = 5.8521 Å
α = 60.00°, β = 90.01°, γ = 90.01°
Sites, in units of the cell vectors:
1 Pd 0.2837 0.8319 0.3361
2 Pd 0.7163 0.1681 0.6639
3 Pd 0.7163 0.6639 0.1681
4 Pd 0.7165 0.1679 0.1679
5 Pd 0.2837 0.3361 0.8319
6 Pd 0.2835 0.8321 0.8321
7 Pm 0.7959 0.6668 0.6668
8 Pm 0.2041 0.3332 0.3332
9 Be 0.0000 0.0000 0.0000

---

Q: Which of them is the most stable? A: <A>.

---

<A>
This record from Alexandria via LeMat-Bulk describes a geometry-optimized PrBePd3 structure. The functional is PBE.

As for the theoretical density: 8.85 g cm⁻³. As for the space group: Pm-3m. The calculation puts the volume at 17.6 Å³/atom.

a = 4.4478 Å, b = 4.4478 Å, c = 4.4478 Å
α = 90.00°, β = 90.00°, γ = 90.00°
Sites, in units of the cell vectors:
1 Pd 0.5000 0.0000 0.0000
2 Pd 0.0000 0.0000 0.5000
3 Pd 0.0000 0.5000 0.0000
4 Pr 0.5000 0.5000 0.5000
5 Be 0.0000 0.0000 0.0000

---

<B>
This record from Alexandria via LeMat-Bulk describes a geometry-optimized PrBePd3 structure. The functional is PBE.

As for the theoretical density: 8.99 g cm⁻³. As for the space group: P6_3/mmc. The calculation puts the volume at 17.3 Å³/atom.

a = 5.6088 Å, b = 5.9742 Å, c = 5.9740 Å
α = 120.00°, β = 90.00°, γ = 90.00°
Sites, in units of the cell vectors:
1 Pd 0.2500 0.8259 0.6520
2 Pd 0.2500 0.8260 0.1740
3 Pd 0.7500 0.6520 0.8260
4 Pd 0.2500 0.3480 0.1740
5 Pd 0.7500 0.1741 0.3480
6 Pd 0.7500 0.1740 0.8260
7 Be 0.0000 0.0000 0.0000
8 Be 0.5000 0.0000 0.0000
9 Pr 0.7500 0.6667 0.3334
10 Pr 0.2500 0.3333 0.6667

---

Q: Which of them is the most stable? A: <B>.